PBE AlTlNi, relaxed; energy relative to the elements = 0.04 eV per atom; VASP energy = -3.928 eV/atom; magnetic moment = 0.0 μB/f.u.
1.0
6.060 0.000 0.000
0.000 6.060 0.000
0.000 0.000 6.060
Al Tl Ni
4 4 4
direct
0.000 0.000 0.000
0.000 0.500 0.500
0.500 0.000 0.500
0.500 0.500 0.000
0.000 0.000 0.500
0.000 0.500 0.000
0.500 0.000 0.000
0.500 0.500 0.500
0.250 0.250 0.250
0.250 0.750 0.750
0.750 0.250 0.750
0.750 0.750 0.250

PBE AlTlNi2, relaxed; energy relative to the elements = 0.33 eV per atom; VASP energy = -4.087 eV/atom; magnetic moment = 0.0 μB/f.u.
1.0
4.175 0.000 0.000
0.000 4.175 0.000
0.000 0.000 16.350
Al Tl Ni
4 4 8
direct
0.000 0.000 0.000
0.000 0.500 0.250
0.500 0.000 0.750
0.500 0.500 0.500
0.000 0.000 0.500
0.000 0.500 0.750
0.500 0.000 0.250
0.500 0.500 0.000
0.148 0.250 0.125
0.250 0.648 0.375
0.250 0.852 0.875
0.352 0.250 0.625
0.648 0.750 0.625
0.750 0.148 0.875
0.750 0.352 0.375
0.852 0.750 0.125

Question: VASP energy of number 2 (AlTlNi2)?
Answer: -4.087 eV/atom

Question: Which value of VASP energy does entry 1 give?
Answer: -3.928 eV/atom

Repeat the second record exactly.
PBE AlTlNi2, relaxed; energy relative to the elements = 0.33 eV per atom; VASP energy = -4.087 eV/atom; magnetic moment = 0.0 μB/f.u.
1.0
4.175 0.000 0.000
0.000 4.175 0.000
0.000 0.000 16.350
Al Tl Ni
4 4 8
direct
0.000 0.000 0.000
0.000 0.500 0.250
0.500 0.000 0.750
0.500 0.500 0.500
0.000 0.000 0.500
0.000 0.500 0.750
0.500 0.000 0.250
0.500 0.500 0.000
0.148 0.250 0.125
0.250 0.648 0.375
0.250 0.852 0.875
0.352 0.250 0.625
0.648 0.750 0.625
0.750 0.148 0.875
0.750 0.352 0.375
0.852 0.750 0.125